# 1
# AsW2Br

A relaxed structure of AsW2Br (PBE, Alexandria via LeMat-Bulk).

Cell: 4.191 4.191 7.784 Å, 90.00 90.00 90.00°
Space group I-4m2 (No. 119)
One atom of each set of equivalent atoms:
As1 0.000 0.000 0.000 (multiplicity 2)
W1 0.000 0.000 0.500 (multiplicity 2)
W2 0.000 0.500 0.250 (multiplicity 2)
Br1 0.000 0.500 0.750 (multiplicity 2)

Polymorph energy (0 for the lowest one), meV/atom: 931
DFT total energy, eV/atom: -6.98

***

# 2
# AsW2Br

A relaxed structure of AsW2Br (PBE, Alexandria via LeMat-Bulk).

Cell: 6.344 6.344 6.344 Å, 90.00 90.00 90.00°
Space group Fm-3m (No. 225)
One atom of each set of equivalent atoms:
As1 0.000 0.000 0.000 (multiplicity 4)
W1 0.250 0.250 0.250 (multiplicity 8)
Br1 0.000 0.000 0.500 (multiplicity 4)

Polymorph energy (0 for the lowest one), meV/atom: 780
DFT total energy, eV/atom: -7.13

***

# 3
# AsW2Br

A relaxed structure of AsW2Br (PBE, Alexandria via LeMat-Bulk).

Cell: 3.060 5.289 8.721 Å, 90.00 90.00 90.00°
Space group Cmmm (No. 65)
One atom of each set of equivalent atoms:
As1 0.000 0.000 0.000 (multiplicity 2)
W1 0.000 0.500 0.232 (multiplicity 4)
Br1 0.000 0.000 0.500 (multiplicity 2)

Polymorph energy (0 for the lowest one), meV/atom: 832
DFT total energy, eV/atom: -7.08

***

# 4
# AsWBr

A relaxed structure of AsWBr (PBE, Alexandria via LeMat-Bulk).

Cell: 3.2415 3.2415 7.1265 Å, 90.00 90.00 120.00°
Space group P3m1 (No. 156)
One atom of each set of equivalent atoms:
As1 0.0000 0.0000 0.0000 (multiplicity 1)
W1 0.3333 0.6667 0.7477 (multiplicity 1)
Br1 0.6667 0.3333 0.4836 (multiplicity 1)

Polymorph energy (0 for the lowest one), meV/atom: 0
DFT total energy, eV/atom: -6.22

***

Question: The lowest DFT total energy belongs to which entry?
Answer: number 2

***

Question: Among the records above, which one has the lowest polymorph energy (0 for the lowest one)?
Answer: AsWBr

***

Question: The highest polymorph energy (0 for the lowest one) belongs to which entry?
Answer: number 1

***

Question: Which formula does entry 3 have?
Answer: AsW2Br